# 1
Here is crystalline LaCeThPa at its relaxed geometry from the Alexandria database. Energies are from PBE.

Unit cell a=7.804 b=7.804 c=7.804 alpha=90.00 beta=90.00 gamma=90.00
Space group F-43m (No. 216)
Symmetry-distinct sites (fractional):
La  0.000  0.000  0.000 (multiplicity 4)
Ce  0.250  0.250  0.250 (multiplicity 4)
Th  0.250  0.250  0.750 (multiplicity 4)
Pa  0.000  0.000  0.500 (multiplicity 4)

Values from the calculation:
The value obtained for the energy relative to the elements is 0.339 eV per atom. The density of states at the Fermi level is 10.96 states/eV/f.u.

# 2
Here is crystalline La2Ce3Pb4 at its relaxed geometry from the Alexandria database. Energies are from PBE.

Unit cell a=17.325 b=5.071 c=6.947 alpha=90.00 beta=103.09 gamma=90.00
Space group C2/m (No. 12)
Symmetry-distinct sites (fractional):
La  0.166  0.000  0.089 (multiplicity 4)
Ce  0.000  0.500  0.000 (multiplicity 2)
Ce  0.108  0.500  0.565 (multiplicity 4)
Pb  0.003  0.000  0.282 (multiplicity 4)
Pb  0.238  0.000  0.670 (multiplicity 4)

Values from the calculation:
The value obtained for the energy relative to the elements is -0.387 eV per atom. The density of states at the Fermi level is 22.88 states/eV/f.u.

# 3
Here is crystalline La5CePb4 at its relaxed geometry from the Alexandria database. Energies are from PBE.

Unit cell a=17.163 b=5.713 c=7.404 alpha=90.00 beta=90.43 gamma=90.00
Space group C2/m (No. 12)
Symmetry-distinct sites (fractional):
La  0.000  0.000  0.000 (multiplicity 2)
La  0.166  0.500  0.991 (multiplicity 4)
La  0.167  0.500  0.510 (multiplicity 4)
Ce  0.000  0.000  0.500 (multiplicity 2)
Pb  0.008  0.500  0.253 (multiplicity 4)
Pb  0.174  0.000  0.749 (multiplicity 4)

Values from the calculation:
The value obtained for the energy relative to the elements is -0.405 eV per atom. The density of states at the Fermi level is 12.59 states/eV/f.u.

# 4
Here is crystalline LaCePb at its relaxed geometry from the Alexandria database. Energies are from PBE.

Unit cell a=5.4274 b=5.4274 c=3.3776 alpha=90.00 beta=90.00 gamma=120.00
Space group P-6m2 (No. 187)
Symmetry-distinct sites (fractional):
La  0.0000  0.0000  0.0000 (multiplicity 1)
Ce  0.6667  0.3333  0.0000 (multiplicity 1)
Pb  0.3333  0.6667  0.5000 (multiplicity 1)

Values from the calculation:
The value obtained for the energy relative to the elements is -0.166 eV per atom. The density of states at the Fermi level is 6.43 states/eV/f.u.